Entry 1:
# Zr6AlNi2 (PBE, optimized geometry)
data_Zr6AlNi2
_chemical_formula_sum 'Zr6 Al1 Ni2'
_cell_length_a 7.1069
_cell_length_b 7.1069
_cell_length_c 4.0836
_cell_angle_alpha 90.00
_cell_angle_beta 90.00
_cell_angle_gamma 120.00
_symmetry_space_group_name_H-M 'P -6 2 m'
_symmetry_Int_Tables_number 189
_symmetry_space_group_name_Hall 'P -6 -2'
loop_
_atom_site_label
_atom_site_type_symbol
_atom_site_fract_x
_atom_site_fract_y
_atom_site_fract_z
_atom_site_occupancy
Zr1 Zr 0.0000 0.2748 0.0000 1
Zr2 Zr 0.0000 0.5944 0.5000 1
Al1 Al 0.0000 0.0000 0.5000 1
Ni1 Ni 0.3333 0.6667 0.0000 1
# **Formation energy from the elements**: -192 meV/atom
# **E**: -68.3 eV for the cell shown
# **Calculated volume**: 19.8 A^3/atom

=====

Entry 2:
# Zr2AlNi (PBE, optimized geometry)
data_Zr2AlNi
_chemical_formula_sum 'Zr4 Al2 Ni2'
_cell_length_a 5.201
_cell_length_b 4.066
_cell_length_c 7.009
_cell_angle_alpha 90.00
_cell_angle_beta 90.00
_cell_angle_gamma 90.00
_symmetry_space_group_name_H-M 'P m m a'
_symmetry_Int_Tables_number 51
_symmetry_space_group_name_Hall '-P 2a 2a'
loop_
_atom_site_label
_atom_site_type_symbol
_atom_site_fract_x
_atom_site_fract_y
_atom_site_fract_z
_atom_site_occupancy
Zr1 Zr 0.000 0.000 0.000 1
Zr2 Zr 0.250 0.500 0.325 1
Al1 Al 0.250 0.000 0.619 1
Ni1 Ni 0.250 0.500 0.808 1
# **Formation energy from the elements**: -251 meV/atom
# **E**: -55.2 eV for the cell shown
# **Calculated volume**: 18.5 A^3/atom

=====

Entry 3:
# Zr3Al2Ni (PBE, optimized geometry)
data_Zr3Al2Ni
_chemical_formula_sum 'Zr6 Al4 Ni2'
_cell_length_a 4.830
_cell_length_b 14.634
_cell_length_c 3.119
_cell_angle_alpha 90.00
_cell_angle_beta 90.00
_cell_angle_gamma 90.00
_symmetry_space_group_name_H-M 'C m m m'
_symmetry_Int_Tables_number 65
_symmetry_space_group_name_Hall '-C 2 2'
loop_
_atom_site_label
_atom_site_type_symbol
_atom_site_fract_x
_atom_site_fract_y
_atom_site_fract_z
_atom_site_occupancy
Zr1 Zr 0.000 0.000 0.000 1
Zr2 Zr 0.000 0.182 0.500 1
Al1 Al 0.000 0.367 0.000 1
Ni1 Ni 0.000 0.500 0.500 1
# **Formation energy from the elements**: -401 meV/atom
# **E**: -82.6 eV for the cell shown
# **Calculated volume**: 18.4 A^3/atom

=====

Entry 4:
# ZrAlNi2 (PBE, optimized geometry)
data_ZrAlNi2
_chemical_formula_sum 'Zr4 Al4 Ni8'
_cell_length_a 3.963
_cell_length_b 12.056
_cell_length_c 5.069
_cell_angle_alpha 90.00
_cell_angle_beta 90.00
_cell_angle_gamma 90.00
_symmetry_space_group_name_H-M 'C m c m'
_symmetry_Int_Tables_number 63
_symmetry_space_group_name_Hall '-C 2c 2'
loop_
_atom_site_label
_atom_site_type_symbol
_atom_site_fract_x
_atom_site_fract_y
_atom_site_fract_z
_atom_site_occupancy
Zr1 Zr 0.000 0.213 0.250 1
Al1 Al 0.000 0.047 0.750 1
Ni1 Ni 0.000 0.400 0.513 1
# **Formation energy from the elements**: -439 meV/atom
# **E**: -102.4 eV for the cell shown
# **Calculated volume**: 15.1 A^3/atom

=====

Entry 5:
# ZrAl2Ni4 (PBE, optimized geometry)
data_ZrAl2Ni4
_chemical_formula_sum 'Zr2 Al4 Ni8'
_cell_length_a 5.196
_cell_length_b 4.124
_cell_length_c 8.994
_cell_angle_alpha 90.00
_cell_angle_beta 102.97
_cell_angle_gamma 90.00
_symmetry_space_group_name_H-M 'P 1 21/m 1'
_symmetry_Int_Tables_number 11
_symmetry_space_group_name_Hall '-P 2yb'
loop_
_atom_site_label
_atom_site_type_symbol
_atom_site_fract_x
_atom_site_fract_y
_atom_site_fract_z
_atom_site_occupancy
Zr1 Zr 0.099 0.250 0.261 1
Al1 Al 0.282 0.250 0.910 1
Al2 Al 0.339 0.750 0.553 1
Ni1 Ni 0.091 0.250 0.608 1
Ni2 Ni 0.184 0.750 0.046 1
Ni3 Ni 0.439 0.750 0.309 1
Ni4 Ni 0.453 0.750 0.830 1
# **Formation energy from the elements**: -517 meV/atom
# **E**: -85.6 eV for the cell shown
# **Calculated volume**: 13.4 A^3/atom

=====

Entry 6:
# Zr2AlNi (PBE, optimized geometry)
data_Zr2AlNi
_chemical_formula_sum 'Zr4 Al2 Ni2'
_cell_length_a 4.1721
_cell_length_b 4.1721
_cell_length_c 10.0965
_cell_angle_alpha 90.00
_cell_angle_beta 90.00
_cell_angle_gamma 120.00
_symmetry_space_group_name_H-M 'P 63/m m c'
_symmetry_Int_Tables_number 194
_symmetry_space_group_name_Hall '-P 6c 2c'
loop_
_atom_site_label
_atom_site_type_symbol
_atom_site_fract_x
_atom_site_fract_y
_atom_site_fract_z
_atom_site_occupancy
Zr1 Zr 0.3333 0.6667 0.0997 1
Al1 Al 0.3333 0.6667 0.7500 1
Ni1 Ni 0.0000 0.0000 0.2500 1
# **Formation energy from the elements**: -222 meV/atom
# **E**: -55.0 eV for the cell shown
# **Calculated volume**: 19.0 A^3/atom

=====

Entry 7:
# ZrAlNi2 (PBE, optimized geometry)
data_ZrAlNi2
_chemical_formula_sum 'Zr2 Al2 Ni4'
_cell_length_a 4.681
_cell_length_b 3.887
_cell_length_c 7.009
_cell_angle_alpha 90.00
_cell_angle_beta 90.00
_cell_angle_gamma 90.00
_symmetry_space_group_name_H-M 'P m m a'
_symmetry_Int_Tables_number 51
_symmetry_space_group_name_Hall '-P 2a 2a'
loop_
_atom_site_label
_atom_site_type_symbol
_atom_site_fract_x
_atom_site_fract_y
_atom_site_fract_z
_atom_site_occupancy
Zr1 Zr 0.250 0.000 0.149 1
Al1 Al 0.250 0.500 0.752 1
Ni1 Ni 0.000 0.000 0.500 1
Ni2 Ni 0.250 0.500 0.392 1
# **Formation energy from the elements**: -222 meV/atom
# **E**: -49.5 eV for the cell shown
# **Calculated volume**: 15.9 A^3/atom

=====

Entry 8:
# Zr2AlNi (PBE, optimized geometry)
data_Zr2AlNi
_chemical_formula_sum 'Zr4 Al2 Ni2'
_cell_length_a 5.815
_cell_length_b 4.401
_cell_length_c 5.813
_cell_angle_alpha 90.00
_cell_angle_beta 90.00
_cell_angle_gamma 90.00
_symmetry_space_group_name_H-M 'P m m a'
_symmetry_Int_Tables_number 51
_symmetry_space_group_name_Hall '-P 2a 2a'
loop_
_atom_site_label
_atom_site_type_symbol
_atom_site_fract_x
_atom_site_fract_y
_atom_site_fract_z
_atom_site_occupancy
Zr1 Zr 0.000 0.000 0.000 1
Zr2 Zr 0.250 0.500 0.335 1
Al1 Al 0.250 0.500 0.815 1
Ni1 Ni 0.250 0.000 0.593 1
# **Formation energy from the elements**: -245 meV/atom
# **E**: -55.2 eV for the cell shown
# **Calculated volume**: 18.6 A^3/atom

=====

- What is the formula in the eighth record?
  Zr2AlNi

=====

- What is the formation energy from the elements in the second record?
  -251 meV/atom